Ac3Er2UN6, optimized geometry, DFT PBE; formation energy (no corrections) = -1346 meV per atom; space group = C2/m
1.0
-4.0159 -4.7004 0.1558
4.2878 0.2411 -4.4499
3.7841 -1.7092 4.9885
N Ac Er U
6 3 2 1
direct
0.3765 0.0666 0.1997
0.0666 0.3765 0.1997
0.9334 0.6235 0.8003
0.2432 0.2432 0.7945
0.7568 0.7568 0.2055
0.6235 0.9334 0.8003
0.1694 0.8306 0.5000
0.8306 0.1694 0.5000
0.5000 0.5000 0.5000
0.3337 0.6663 0.0000
0.6663 0.3337 0.0000
0.0000 0.0000 0.0000

Cs2Rb3I5, optimized geometry, DFT PBE; formation energy (no corrections) = -1489 meV per atom; space group = C2/m
1.0
-4.8762 2.0112 0.4042
-1.3455 1.7428 9.7137
1.8550 11.3512 0.5137
I Cs Rb
5 2 3
direct
0.0965 0.2208 0.5861
0.0000 0.0000 0.0000
0.2921 0.6128 0.8031
0.9035 0.7792 0.4139
0.7079 0.3872 0.1969
0.3298 0.0691 0.2713
0.6702 0.9309 0.7287
0.1154 0.6411 0.1281
0.5000 0.5000 0.5000
0.8846 0.3589 0.8719

AcCeMg2, optimized geometry, DFT PBE; space group = P4/mmm; energy of formation = 0.015 eV/atom
1.0
3.9561 0.0000 0.0000
0.0000 3.9561 0.0000
0.0000 0.0000 8.0671
Mg Ac Ce
2 1 1
direct
0.0000 0.0000 0.7727
0.0000 0.0000 0.2273
0.5000 0.5000 0.5000
0.5000 0.5000 0.0000

SrTeHW2, optimized geometry, DFT PBE; raw total energy = -4.72 eV/atom; space group = P4/mmm
1.0
-3.7066 0.4331 -3.2446
-1.3631 -6.2605 0.7214
-3.1020 1.1007 3.6906
W H Sr Te
2 1 1 1
direct
0.0000 0.0000 0.5000
0.5000 0.0000 0.0000
0.5000 0.5000 0.5000
0.0000 0.5000 0.0000
0.0000 0.0000 0.0000